Run a
Material: TcBiS2Cl
Method: DFT, PBE
State: optimized geometry

The space group is P4/mmm. The value obtained for the total magnetization is 5.0 μB per cell.

a = 5.322 Å, b = 5.322 Å, c = 5.201 Å
α = 90.00°, β = 90.00°, γ = 90.00°
Positions (direct):
Tc (0.000, 0.000, 0.000)
Bi (0.500, 0.500, 0.500)
S (0.000, 0.500, 0.500)
S (0.500, 0.000, 0.500)
Cl (0.500, 0.500, 0.000)

=====

Run b
Material: TcBiS2Cl
Method: DFT, PBE
State: optimized geometry

The space group is P4/mmm. The value obtained for the total magnetization is 0.9 μB per cell.

a = 4.674 Å, b = 4.674 Å, c = 4.850 Å
α = 90.00°, β = 90.00°, γ = 90.00°
Positions (direct):
Tc (0.000, 0.000, 0.000)
Bi (0.500, 0.500, 0.500)
S (0.000, 0.500, 0.000)
S (0.500, 0.000, 0.000)
Cl (0.000, 0.000, 0.500)

=====

run b is favored, and the nearest alternative lies 0.745 eV/atom above it.

=====

Run a
Material: TiBiS2Cl
Method: DFT, PBE
State: optimized geometry

The space group is P4/mmm. The value obtained for the total magnetization is 0.0 μB per cell.

a = 4.822 Å, b = 4.822 Å, c = 4.688 Å
α = 90.00°, β = 90.00°, γ = 90.00°
Positions (direct):
Ti (0.000, 0.000, 0.000)
Bi (0.500, 0.500, 0.500)
S (0.000, 0.500, 0.000)
S (0.500, 0.000, 0.000)
Cl (0.000, 0.000, 0.500)

=====

Run b
Material: TiBiS2Cl
Method: DFT, PBE
State: optimized geometry

The space group is P4/mmm. The value obtained for the total magnetization is 0.1 μB per cell.

a = 5.342 Å, b = 5.342 Å, c = 5.168 Å
α = 90.00°, β = 90.00°, γ = 90.00°
Positions (direct):
Ti (0.000, 0.000, 0.000)
Bi (0.500, 0.500, 0.500)
S (0.000, 0.500, 0.500)
S (0.500, 0.000, 0.500)
Cl (0.500, 0.500, 0.000)

=====

run a is favored, and the nearest alternative lies 0.954 eV/atom above it.

=====

Run a
Material: VBiSCl2
Method: DFT, PBE
State: optimized geometry

The space group is P4/mmm. The value obtained for the total magnetization is 2.9 μB per cell.

a = 4.766 Å, b = 4.766 Å, c = 4.900 Å
α = 90.00°, β = 90.00°, γ = 90.00°
Positions (direct):
V (0.000, 0.000, 0.000)
Bi (0.500, 0.500, 0.500)
S (0.000, 0.000, 0.500)
Cl (0.000, 0.500, 0.000)
Cl (0.500, 0.000, 0.000)

=====

Run b
Material: VBiSCl2
Method: DFT, PBE
State: optimized geometry

The space group is P4/mmm. The value obtained for the total magnetization is 3.9 μB per cell.

a = 5.381 Å, b = 5.381 Å, c = 5.428 Å
α = 90.00°, β = 90.00°, γ = 90.00°
Positions (direct):
V (0.000, 0.000, 0.000)
Bi (0.500, 0.500, 0.500)
S (0.500, 0.500, 0.000)
Cl (0.000, 0.500, 0.500)
Cl (0.500, 0.000, 0.500)

=====

run a is favored, and the nearest alternative lies 0.658 eV/atom above it.

=====

Run a
Material: BiWS2Cl
Method: DFT, PBE
State: optimized geometry

The space group is P4/mmm. The value obtained for the total magnetization is 4.1 μB per cell.

a = 5.320 Å, b = 5.320 Å, c = 5.141 Å
α = 90.00°, β = 90.00°, γ = 90.00°
Positions (direct):
Bi (0.000, 0.000, 0.000)
W (0.500, 0.500, 0.500)
S (0.000, 0.500, 0.000)
S (0.500, 0.000, 0.000)
Cl (0.000, 0.000, 0.500)

=====

Run b
Material: BiWS2Cl
Method: DFT, PBE
State: optimized geometry

The space group is P4/mmm. The value obtained for the total magnetization is 0.0 μB per cell.

a = 4.710 Å, b = 4.710 Å, c = 4.901 Å
α = 90.00°, β = 90.00°, γ = 90.00°
Positions (direct):
Bi (0.000, 0.000, 0.000)
W (0.500, 0.500, 0.500)
S (0.000, 0.500, 0.500)
S (0.500, 0.000, 0.500)
Cl (0.500, 0.500, 0.000)

=====

run b is favored, and the nearest alternative lies 1.130 eV/atom above it.